Entry 1:
VASP calculation (PBE) on a geometry-optimized Gd2Ge structure.

CIF file:
```
data_Gd2Ge
_chemical_formula_sum 'Gd8 Ge4'
_symmetry_space_group_name_H-M 'F m -3 m'
_symmetry_Int_Tables_number 225
_symmetry_space_group_name_Hall '-F 4 2 3'
_cell_length_a 6.9777
_cell_length_b 6.9777
_cell_length_c 6.9777
_cell_angle_alpha 90.00
_cell_angle_beta 90.00
_cell_angle_gamma 90.00
loop_
_atom_site_label
_atom_site_type_symbol
_atom_site_fract_x
_atom_site_fract_y
_atom_site_fract_z
_atom_site_occupancy
Gd1 Gd 0.2500 0.2500 0.2500 1
Ge1 Ge 0.0000 0.0000 0.0000 1
```

Calculated values
- Offset from the most stable computed form: 0.075 eV/atom

=====

Entry 2:
VASP calculation (PBE) on a geometry-optimized Gd2Ge structure.

CIF file:
```
data_Gd2Ge
_chemical_formula_sum 'Gd8 Ge4'
_symmetry_space_group_name_H-M 'P n m a'
_symmetry_Int_Tables_number 62
_cell_length_a 6.7493
_cell_length_b 4.6221
_cell_length_c 9.8829
_cell_angle_alpha 90.00
_cell_angle_beta 90.00
_cell_angle_gamma 90.00
loop_
_symmetry_equiv_pos_as_xyz
'x,y,z'
'-x,-y,-z'
'-x+1/2,-y,z+1/2'
'x+1/2,y,-z+1/2'
'x+1/2,-y+1/2,-z+1/2'
'-x+1/2,y+1/2,z+1/2'
'-x,y+1/2,-z'
'x,-y+1/2,z'
loop_
_atom_site_label
_atom_site_type_symbol
_atom_site_fract_x
_atom_site_fract_y
_atom_site_fract_z
_atom_site_occupancy
Gd1 Gd 0.0618 0.2500 0.2007 1
Gd2 Gd 0.1629 0.2500 0.5510 1
Ge1 Ge 0.2078 0.2500 0.8711 1
```

Calculated values
- Offset from the most stable computed form: 0.009 eV/atom

=====

Entry 3:
VASP calculation (PBE) on a geometry-optimized GdGe structure.

CIF file:
```
data_GdGe
_chemical_formula_sum 'Gd1 Ge1'
_symmetry_space_group_name_H-M 'P -6 m 2'
_symmetry_Int_Tables_number 187
_symmetry_space_group_name_Hall 'P -6 2'
_cell_length_a 3.7774
_cell_length_b 3.7774
_cell_length_c 4.1673
_cell_angle_alpha 90.00
_cell_angle_beta 90.00
_cell_angle_gamma 120.00
loop_
_atom_site_label
_atom_site_type_symbol
_atom_site_fract_x
_atom_site_fract_y
_atom_site_fract_z
_atom_site_occupancy
Gd1 Gd 0.0000 0.0000 0.0000 1
Ge1 Ge 0.6667 0.3333 0.5000 1
```

Calculated values
- VASP energy: -5.092 eV per atom